# 1
# PBE ScAgS2Cl, relaxed
# E_form (uncorrected) = -0.67 eV per atom
# V = 24.33 Å³ per atom
# N(E_F) = 5.50 states/eV/f.u.
# Theoretical density = 3.44 g/cm3
data_ScAgS2Cl
_symmetry_space_group_name_H-M 'P 1'
_symmetry_Int_Tables_number 1
_cell_length_a 4.935
_cell_length_b 4.935
_cell_length_c 4.995
_cell_angle_alpha 90.00
_cell_angle_beta 90.00
_cell_angle_gamma 90.00
loop_
_symmetry_equiv_pos_as_xyz
'x,y,z'
loop_
_atom_site_label
_atom_site_type_symbol
_atom_site_fract_x
_atom_site_fract_y
_atom_site_fract_z
Sc1 Sc 0.000 0.000 0.000
Ag1 Ag 0.500 0.500 0.500
S1 S 0.000 0.500 0.000
S2 S 0.500 0.000 0.000
Cl1 Cl 0.000 0.000 0.500


# 2
# PBE NbZn3Ni4, relaxed
# V = 12.81 Å³ per atom
# Final energy = -4.834 eV per atom
# N(E_F) = 6.44 states/eV/f.u.
# Theoretical density = 8.49 g/cm3
data_NbZn3Ni4
_symmetry_space_group_name_H-M 'P 1'
_symmetry_Int_Tables_number 1
_cell_length_a 7.153
_cell_length_b 7.153
_cell_length_c 7.153
_cell_angle_alpha 34.09
_cell_angle_beta 34.09
_cell_angle_gamma 34.09
loop_
_symmetry_equiv_pos_as_xyz
'x,y,z'
loop_
_atom_site_label
_atom_site_type_symbol
_atom_site_fract_x
_atom_site_fract_y
_atom_site_fract_z
Nb1 Nb 0.000 0.000 0.000
Zn1 Zn 0.250 0.250 0.250
Zn2 Zn 0.500 0.500 0.500
Zn3 Zn 0.750 0.750 0.750
Ni1 Ni 0.125 0.125 0.125
Ni2 Ni 0.377 0.377 0.377
Ni3 Ni 0.623 0.623 0.623
Ni4 Ni 0.875 0.875 0.875


# 3
# PBE PuMg2Pb, relaxed
# V = 25.79 Å³ per atom
# Final energy = -5.366 eV per atom
# N(E_F) = 12.26 states/eV/f.u.
# Theoretical density = 8.04 g/cm3
data_PuMg2Pb
_symmetry_space_group_name_H-M 'P 1'
_symmetry_Int_Tables_number 1
_cell_length_a 4.606
_cell_length_b 4.606
_cell_length_c 4.862
_cell_angle_alpha 90.00
_cell_angle_beta 90.00
_cell_angle_gamma 90.00
loop_
_symmetry_equiv_pos_as_xyz
'x,y,z'
loop_
_atom_site_label
_atom_site_type_symbol
_atom_site_fract_x
_atom_site_fract_y
_atom_site_fract_z
Pu1 Pu 0.000 0.000 0.000
Mg1 Mg 0.000 0.500 0.500
Mg2 Mg 0.500 0.000 0.500
Pb1 Pb 0.500 0.500 0.000


# 4
# PBE CaTl2HgPt, relaxed
# V = 31.36 Å³ per atom
# Final energy = -2.889 eV per atom
# N(E_F) = 1.33 states/eV/f.u.
# Theoretical density = 8.94 g/cm3
data_CaTl2HgPt
_symmetry_space_group_name_H-M 'P 1'
_symmetry_Int_Tables_number 1
_cell_length_a 5.307
_cell_length_b 5.307
_cell_length_c 5.567
_cell_angle_alpha 90.00
_cell_angle_beta 90.00
_cell_angle_gamma 90.00
loop_
_symmetry_equiv_pos_as_xyz
'x,y,z'
loop_
_atom_site_label
_atom_site_type_symbol
_atom_site_fract_x
_atom_site_fract_y
_atom_site_fract_z
Ca1 Ca 0.000 0.000 0.000
Tl1 Tl 0.000 0.500 0.500
Tl2 Tl 0.500 0.000 0.500
Hg1 Hg 0.500 0.500 0.000
Pt1 Pt 0.000 0.000 0.500


# 5
# PBE Cr2MoRh, relaxed
# V = 13.41 Å³ per atom
# Final energy = -9.267 eV per atom
# N(E_F) = 4.63 states/eV/f.u.
# Theoretical density = 9.38 g/cm3
data_Cr2MoRh
_symmetry_space_group_name_H-M 'P 1'
_symmetry_Int_Tables_number 1
_cell_length_a 2.937
_cell_length_b 4.305
_cell_length_c 8.483
_cell_angle_alpha 90.00
_cell_angle_beta 90.00
_cell_angle_gamma 90.00
loop_
_symmetry_equiv_pos_as_xyz
'x,y,z'
loop_
_atom_site_label
_atom_site_type_symbol
_atom_site_fract_x
_atom_site_fract_y
_atom_site_fract_z
Cr1 Cr 0.000 0.000 0.000
Cr2 Cr 0.000 0.500 0.292
Cr3 Cr 0.500 0.000 0.792
Cr4 Cr 0.500 0.500 0.500
Mo1 Mo 0.000 0.000 0.534
Mo2 Mo 0.500 0.500 0.034
Rh1 Rh 0.000 0.500 0.762
Rh2 Rh 0.500 0.000 0.262


# 6
# PBE Pu2NO, relaxed
# E_form (uncorrected) = -1.33 eV per atom
# V = 14.11 Å³ per atom
# N(E_F) = 9.50 states/eV/f.u.
# Theoretical density = 15.24 g/cm3
data_Pu2NO
_symmetry_space_group_name_H-M 'P 1'
_symmetry_Int_Tables_number 1
_cell_length_a 3.040
_cell_length_b 3.040
_cell_length_c 6.107
_cell_angle_alpha 90.00
_cell_angle_beta 90.00
_cell_angle_gamma 90.00
loop_
_symmetry_equiv_pos_as_xyz
'x,y,z'
loop_
_atom_site_label
_atom_site_type_symbol
_atom_site_fract_x
_atom_site_fract_y
_atom_site_fract_z
Pu1 Pu 0.000 0.000 0.241
Pu2 Pu 0.000 0.000 0.759
N1 N 0.500 0.500 0.000
O1 O 0.500 0.500 0.500